This record from Alexandria describes an optimized crystal structure of Zn2FeW. The functional is PBE.

The structure belongs to space group Pm (No. 6); the cell edges are 2.639, 4.244 and 5.027 Å and the angles 90.00°, 96.73° and 90.00°. The distinct sites, in fractional coordinates, are Zn at (0.000, 0.000, 0.000), Zn at (0.083, 0.500, 0.746), Fe at (0.676, 0.500, 0.252) and W at (0.483, 0.000, 0.487).

As for the formation energy from the elements: 185 meV/atom. Its density of states at the Fermi level is 0.503 states/eV per atom. Its volume is 13.98 A^3/atom. As for the total DFT energy (no corrections): -23.2 eV for the cell shown.